## ScFe2Hg (GGA-PBEsol)

Data for a relaxed ScFe2Hg crystal.

a b c (Å): 3.3468 4.2835 5.0575
angles (deg): 115.05 109.32 90.00
Last column: nearest neighbours and their distance in Å.
Fractional positions:
Fe 0.7253 0.7253 0.4505  2 Fe 2.37
Fe 0.0280 0.5280 0.0559  2 Fe 2.37
Hg 0.4860 0.9860 0.9720  8 Fe 2.74-2.96, 4 Sc 2.88
Sc 0.2608 0.2608 0.5215  8 Fe 2.73-2.92, 4 Hg 2.88

Output
**Energy of formation**: 0.029 eV/atom